# Cs2SrWF6

Cs2SrWF6 after structural relaxation (PBE+U, Alexandria).

extended XYZ file:
```
10
Lattice="-4.323 4.524 2.187 -3.311 -4.735 3.249 -1.193 0.607 6.430" Properties=species:S:1:pos:R:3 pbc="T T T"
Cs -4.667 2.513 5.667
Cs -4.161 -2.116 6.199
Sr -3.817 -0.105 2.718
W 0.000 0.000 0.000
F -2.441 0.269 4.665
F -6.387 0.128 7.201
F -1.861 -0.051 1.325
F -5.773 -0.159 4.111
F -4.076 2.267 2.446
F -3.558 -2.478 2.990
```

Its total energy is -4.89 eV/atom. As for the density: 5.35 g/cm³. As for the space-group type: I4/mmm. The density of states at the Fermi level comes out at 0.0 states/eV/cell. Its magnetization is 0.200 μB/atom.